DFT (PBE-GGA) results for an optimized crystal structure of RbRe3Bi5.

Properties
E   -6.0001 eV/atom
SG   P6/mmm (191)

a b c (Å): 5.815 5.815 8.919
angles (deg): 90.00 90.00 120.00
Fractional positions:
Rb: 0.000 0.000 0.000
Re: 0.000 0.500 0.500
Re: 0.500 0.000 0.500
Re: 0.500 0.500 0.500
Bi: 0.000 0.000 0.500
Bi: 0.333 0.667 0.237
Bi: 0.333 0.667 0.763
Bi: 0.667 0.333 0.237
Bi: 0.667 0.333 0.763